A plane-wave DFT calculation with PBE+U was carried out for Rb2MoPbO6 after structural relaxation.

```
Rb2MoPbO6
1.0
0.0000 4.1827 4.1827
4.1827 0.0000 4.1827
4.1827 4.1827 0.0000
Rb Mo Pb O
2 1 1 6
Cartesian
2.0913 2.0913 2.0913
6.2740 6.2740 6.2740
0.0000 0.0000 0.0000
4.1827 4.1827 4.1827
4.1827 4.1827 1.9558
4.1827 1.9558 4.1827
6.4096 4.1827 4.1827
1.9558 4.1827 4.1827
4.1827 6.4096 4.1827
4.1827 4.1827 6.4096
```

Results
The density comes out at 6.468 g/cm3. The final energy is -5.628 eV/atom.